1 | KLi2Cl | the Alexandria database | PBE | optimized geometry; spin magnetization = 0.000 μB per formula unit; V = 33.64 A^3/atom
1.0
-0.208 2.153 3.405
-3.133 -1.196 -2.242
-0.587 -8.635 5.423
Li Cl K
2 1 1
direct
0.000 0.000 0.094
0.000 0.000 0.406
0.500 0.500 0.250
0.500 0.500 0.750

***

2 | KLi2Cl | the Alexandria database | PBE | optimized geometry; spin magnetization = 0.000 μB per formula unit; V = 29.84 A^3/atom
1.0
-3.497 -0.348 -1.494
-1.908 -3.289 0.351
-5.541 1.861 7.737
K Cl Li
1 1 2
direct
0.231 0.231 0.304
0.483 0.483 0.552
0.011 0.011 0.967
0.775 0.775 0.678

***

3 | KLi2Cl | the Alexandria database | PBE | optimized geometry; spin magnetization = 0.000 μB per formula unit; V = 31.19 A^3/atom
1.0
1.155 -5.335 -1.289
0.901 -3.739 4.082
-3.786 -4.012 1.013
Li Cl K
2 1 1
direct
0.250 0.250 0.250
0.750 0.750 0.750
0.000 0.000 0.000
0.500 0.500 0.500

***

4 | KLi2Cl | the Alexandria database | PBE | optimized geometry; spin magnetization = 0.000 μB per formula unit; V = 39.62 A^3/atom
1.0
-1.628 -4.283 -6.171
2.245 -6.303 3.782
-4.695 -5.992 0.611
Li Cl K
4 2 2
direct
0.425 0.125 0.250
0.375 0.575 0.750
0.875 0.675 0.750
0.325 0.625 0.250
0.250 0.750 0.500
0.500 0.500 0.000
0.750 0.250 0.500
0.000 0.000 0.000

***

Structures ranked by computed energy, the most stable listed first: 2, 1, 4, 3.

***

1 | KLi2Cl | the Alexandria database | PBE | optimized geometry; spin magnetization = 0.000 μB per formula unit; V = 28.57 A^3/atom
1.0
3.726 0.000 0.000
0.000 4.319 0.011
0.000 2.140 7.108
K Cl Li
1 1 2
direct
0.500 0.715 0.694
0.000 0.321 0.483
0.000 0.028 0.069
0.500 0.435 0.254

***

2 | KLi2Cl | the Alexandria database | PBE | optimized geometry; spin magnetization = 0.000 μB per formula unit; V = 36.28 A^3/atom
1.0
-4.475 4.971 0.164
-2.550 -0.085 -6.185
0.590 -3.058 5.922
Li K Cl
2 1 1
direct
0.050 0.050 0.000
0.316 0.816 0.500
0.685 0.185 0.500
0.449 0.449 0.000

***

3 | KLi2Cl | the Alexandria database | PBE | optimized geometry; spin magnetization = 0.000 μB per formula unit; V = 30.33 A^3/atom
1.0
10.201 0.037 0.022
9.499 3.720 0.022
9.499 1.812 3.249
Cl Li K
1 2 1
direct
0.250 0.250 0.250
0.535 0.535 0.535
0.965 0.965 0.965
0.750 0.750 0.750

***

4 | KLi2Cl | the Alexandria database | PBE | optimized geometry; spin magnetization = 0.000 μB per formula unit; V = 31.99 A^3/atom
1.0
6.869 0.000 0.000
0.000 4.313 -0.005
0.000 0.006 4.319
Li Cl K
2 1 1
direct
0.000 0.490 0.490
0.000 0.010 0.010
0.500 0.250 0.250
0.500 0.750 0.750

***

Structures ranked by computed energy, the most stable listed first: 1, 3, 2, 4.

***

1 | KLi2Cl | the Alexandria database | PBE | optimized geometry; spin magnetization = 0.000 μB per formula unit; V = 30.90 A^3/atom
1.0
5.591 -0.037 0.000
0.034 5.591 0.000
-2.813 -2.777 3.954
Cl Li K
1 2 1
direct
0.500 0.500 0.000
0.250 0.750 0.500
0.000 0.000 0.000
0.750 0.250 0.500

***

2 | KLi2Cl | the Alexandria database | PBE | optimized geometry; spin magnetization = 0.000 μB per formula unit; V = 27.52 A^3/atom
1.0
-5.291 1.513 -3.762
-6.466 1.525 -0.543
-1.044 5.402 -0.402
Li Cl K
2 1 1
direct
0.432 0.432 0.567
0.068 0.068 0.933
0.750 0.750 0.750
0.250 0.250 0.250

***

3 | KLi2Cl | the Alexandria database | PBE | optimized geometry; spin magnetization = 0.000 μB per formula unit; V = 34.64 A^3/atom
1.0
8.101 0.068 0.000
5.777 5.680 0.000
-6.939 -2.874 3.037
Cl K Li
1 1 2
direct
0.250 0.750 0.500
0.750 0.250 0.500
0.000 0.000 0.000
0.500 0.500 0.000

***

Structures ranked by computed energy, the most stable listed first: 2, 3, 1.

***

1 | K2LiMoCl6 | the Alexandria database | PBE | optimized geometry; spin magnetization = 3.000 μB per formula unit; V = 26.06 A^3/atom
1.0
-1.820 3.376 5.967
1.549 -2.857 6.305
10.434 5.861 4.082
Cl Li Mo K
12 2 2 4
direct
0.621 0.621 0.622
0.714 0.203 0.881
0.379 0.863 0.378
0.203 0.714 0.881
0.286 0.797 0.119
0.621 0.137 0.622
0.797 0.797 0.119
0.379 0.379 0.378
0.137 0.621 0.622
0.203 0.203 0.881
0.797 0.286 0.119
0.863 0.379 0.378
0.585 0.585 0.244
0.415 0.415 0.756
0.500 0.500 0.500
0.000 0.000 0.000
0.297 0.297 0.110
0.126 0.126 0.622
0.703 0.703 0.890
0.874 0.874 0.378

***

2 | K2LiMoCl6 | the Alexandria database | PBE | optimized geometry; spin magnetization = 3.000 μB per formula unit; V = 25.44 A^3/atom
1.0
-3.919 -1.018 -5.848
1.594 -5.297 -4.472
-4.277 -5.663 -0.473
Li Cl K Mo
1 6 2 1
direct
0.500 0.500 0.500
0.244 0.756 0.244
0.244 0.756 0.756
0.756 0.244 0.244
0.244 0.244 0.756
0.756 0.756 0.244
0.756 0.244 0.756
0.250 0.250 0.250
0.750 0.750 0.750
0.000 0.000 0.000

***

Structures ranked by computed energy, the most stable listed first: 1, 2.

***

1 | KLiP2Cl | the Alexandria database | PBE | optimized geometry; spin magnetization = 5.000 μB per formula unit; V = 43.48 A^3/atom
1.0
-4.911 -2.759 -2.497
1.840 -5.394 2.341
-3.006 1.040 4.761
P Cl Li K
2 1 1 1
direct
0.000 0.500 0.000
0.500 0.000 0.000
0.000 0.000 0.500
0.500 0.500 0.500
0.000 0.000 0.000

***

2 | KLiP2Cl | the Alexandria database | PBE | optimized geometry; spin magnetization = 0.484 μB per formula unit; V = 25.40 A^3/atom
1.0
-3.984 0.174 1.672
-0.492 -4.234 -0.732
2.524 -1.357 6.156
Cl P Li K
1 2 1 1
direct
0.000 0.000 0.500
0.000 0.500 0.000
0.500 0.000 0.000
0.000 0.000 0.000
0.500 0.500 0.500

***

Structures ranked by computed energy, the most stable listed first: 2, 1.

***

1 | KMgCl2 | the Alexandria database | PBE | optimized geometry; spin magnetization = 0.000 μB per formula unit; V = 34.87 A^3/atom
1.0
6.188 0.021 0.004
-0.726 6.145 -0.004
-0.632 -4.943 3.669
Mg K Cl
1 1 2
direct
0.250 0.750 0.500
0.750 0.250 0.500
0.046 0.046 0.000
0.454 0.454 0.000

***

2 | KMgCl2 | the Alexandria database | PBE | optimized geometry; spin magnetization = 0.000 μB per formula unit; V = 35.92 A^3/atom
1.0
2.237 0.000 11.047
-1.119 1.938 11.047
-1.119 -1.938 11.047
Mg Cl K
1 2 1
direct
0.500 0.500 0.500
0.127 0.127 0.127
0.873 0.873 0.873
0.000 0.000 0.000

***

Structures ranked by computed energy, the most stable listed first: 2, 1.

***

1 | KMgCl | the Alexandria database | PBE | optimized geometry; spin magnetization = 0.000 μB per formula unit; V = 42.82 A^3/atom
1.0
5.664 0.000 0.000
2.832 4.905 0.000
2.832 1.635 4.624
K Cl Mg
1 1 1
direct
0.500 0.500 0.500
0.000 0.000 0.000
0.750 0.750 0.750

***

2 | KMgCl | the Alexandria database | PBE | optimized geometry; spin magnetization = 0.000 μB per formula unit; V = 33.45 A^3/atom
1.0
-0.768 -3.359 2.211
1.540 -0.343 -3.778
6.405 0.241 2.590
Cl K Mg
1 1 1
direct
0.000 0.000 0.997
0.667 0.333 0.287
0.333 0.667 0.716

***

3 | KMgCl | the Alexandria database | PBE | optimized geometry; spin magnetization = 0.000 μB per formula unit; V = 31.42 A^3/atom
1.0
7.262 -0.012 0.000
5.351 4.909 0.000
-6.306 -2.449 2.640
Cl Mg K
1 1 1
direct
0.990 0.990 0.000
0.647 0.647 0.000
0.364 0.364 0.000

***

4 | KMgCl | the Alexandria database | PBE | optimized geometry; spin magnetization = 0.000 μB per formula unit; V = 40.40 A^3/atom
1.0
5.555 0.000 0.000
2.777 4.811 0.000
2.777 1.604 4.536
Cl Mg K
1 1 1
direct
0.750 0.750 0.750
0.500 0.500 0.500
0.000 0.000 0.000

***

Structures ranked by computed energy, the most stable listed first: 2, 3, 4, 1.

***

1 | K2MgCl | the Alexandria database | PBE | optimized geometry; spin magnetization = 0.000 μB per formula unit; V = 35.20 A^3/atom
1.0
-0.372 -3.289 -1.909
3.737 -0.668 0.422
-1.761 -4.612 8.289
K Mg Cl
2 1 1
direct
0.000 0.000 0.946
0.000 0.000 0.554
0.500 0.500 0.250
0.500 0.500 0.750

***

2 | K2MgCl | the Alexandria database | PBE | optimized geometry; spin magnetization = 0.000 μB per formula unit; V = 39.61 A^3/atom
1.0
4.015 0.000 0.000
0.000 3.937 -0.010
0.000 0.020 10.024
K Mg Cl
2 1 1
direct
0.000 0.124 0.826
0.500 0.126 0.217
0.000 0.626 0.486
0.500 0.624 0.970

***

Structures ranked by computed energy, the most stable listed first: 1, 2.

***

1 | K2MgCl | the Alexandria database | PBE | optimized geometry; spin magnetization = 0.000 μB per formula unit; V = 43.25 A^3/atom
1.0
-2.286 5.740 -9.355
-2.536 1.719 -10.784
-5.902 3.516 -8.860
K Mg Cl
2 1 1
direct
0.762 0.762 0.762
0.971 0.971 0.971
0.520 0.520 0.520
0.247 0.247 0.247

***

2 | K2MgCl | the Alexandria database | PBE | optimized geometry; spin magnetization = 0.000 μB per formula unit; V = 46.41 A^3/atom
1.0
9.149 0.000 0.000
0.000 9.149 0.000
4.575 4.575 4.436
Mg Cl K
2 2 4
direct
0.250 0.750 0.500
0.500 0.500 0.000
0.000 0.000 0.000
0.750 0.250 0.500
0.697 0.125 0.250
0.375 0.303 0.750
0.053 0.625 0.250
0.875 0.947 0.750

***

Structures ranked by computed energy, the most stable listed first: 2, 1.

***

1 | K2MgCl | the Alexandria database | PBE | optimized geometry; spin magnetization = 0.000 μB per formula unit; V = 46.72 A^3/atom
1.0
7.216 -0.020 0.012
1.822 6.982 -0.012
-3.056 -5.381 3.713
Cl K Mg
1 2 1
direct
0.250 0.750 0.500
0.062 0.062 0.000
0.438 0.438 0.000
0.750 0.250 0.500

***

2 | K2MgCl | the Alexandria database | PBE | optimized geometry; spin magnetization = 0.000 μB per formula unit; V = 37.71 A^3/atom
1.0
-0.568 3.406 -4.975
2.639 -4.637 -2.863
-3.708 -1.666 -0.715
Mg K Cl
1 2 1
direct
0.500 0.000 0.500
0.000 0.000 0.000
0.500 0.500 0.000
0.000 0.500 0.500

***

Structures ranked by computed energy, the most stable listed first: 1, 2.